YTc2BrF: relaxed, GGA-PBE.

- total magnetic moment (μB per formula unit) = 2.9
- raw formation energy (eV per atom) = 0.09

POSCAR file:
```
YTc2BrF
1.0
4.131 0.000 0.000
0.000 4.131 0.000
0.000 0.000 5.489
Y Tc Br F
1 2 1 1
Direct
0.000 0.000 0.000
0.000 0.500 0.500
0.500 0.000 0.500
0.500 0.500 0.000
0.500 0.500 0.500
```